{"formula": "YHgAu2", "functional": "GGA-PBE", "state": "optimized geometry", "energy_ha_per_atom": -0.1380, "volume_a3_per_cell": 203.90, "lattice": [[7.049, 0.000, 0.000], [0.000, 3.992, 0.000], [-2.398, 0.000, 7.246]], "species": ["Y", "Y", "Hg", "Hg", "Au", "Au", "Au", "Au"], "fractional_positions": [[0.000, 0.000, 0.000], [0.500, 0.500, 0.000], [0.171, 0.000, 0.500], [0.671, 0.500, 0.500], [0.085, 0.500, 0.752], [0.415, 0.000, 0.248], [0.585, 0.000, 0.752], [0.915, 0.500, 0.248]]}